Record 1
Entry from Alexandria via LeMat-Bulk: BaMg2Zn at its PBEsol-relaxed geometry (SCAN). Values from VASP.

```
&SYSTEM
  ibrav = 0, nat = 4, ntyp = 3
/
ATOMIC_SPECIES
Mg 24.30 Mg.upf
Ba 137.33 Ba.upf
Zn 65.41 Zn.upf
ATOMIC_POSITIONS crystal
Mg 0.000 0.000 0.059
Mg 0.500 0.500 0.280
Ba 0.500 0.500 0.722
Zn 0.000 0.000 0.439
CELL_PARAMETERS angstrom
3.616 0.000 0.000
0.000 3.616 0.000
0.000 0.000 8.180
```

Calculated values
Crystal system = tetragonal
Calculated formation energy = -0.048 eV/atom
Energy = -63.20 eV/cell

***

Record 2
Entry from Alexandria via LeMat-Bulk: HfTaV4 at its PBEsol-relaxed geometry (SCAN). Values from VASP.

```
&SYSTEM
  ibrav = 0, nat = 6, ntyp = 3
/
ATOMIC_SPECIES
V 50.94 V.upf
Hf 178.49 Hf.upf
Ta 180.95 Ta.upf
ATOMIC_POSITIONS crystal
V 0.375 0.375 0.875
V 0.375 0.875 0.375
V 0.875 0.375 0.375
V 0.375 0.375 0.375
Hf 0.750 0.750 0.750
Ta 0.000 0.000 0.000
CELL_PARAMETERS angstrom
5.039 0.000 0.000
2.519 4.364 0.000
2.519 1.455 4.114
```

Calculated values
Crystal system = cubic
Calculated formation energy = -0.015 eV/atom
Energy = -199.30 eV/cell

***

Record 3
Entry from Alexandria via LeMat-Bulk: CrCdCl at its PBEsol-relaxed geometry (SCAN). Values from VASP.

```
&SYSTEM
  ibrav = 0, nat = 3, ntyp = 3
/
ATOMIC_SPECIES
Cl 35.45 Cl.upf
Cr 52.00 Cr.upf
Cd 112.41 Cd.upf
ATOMIC_POSITIONS crystal
Cl 0.299 0.299 0.599
Cr 0.677 0.678 0.354
Cd 0.023 0.023 0.046
CELL_PARAMETERS angstrom
3.183 0.024 0.000
-0.042 3.183 0.000
-1.571 -1.605 5.877
```

Calculated values
Uncorrected formation energy = -0.83 eV per formula unit
Relative energy among the computed polymorphs = 0 meV/atom
Crystal system = orthorhombic
Energy = -57.61 eV/cell

***

Record 4
Entry from Alexandria via LeMat-Bulk: Sc2AlI at its PBEsol-relaxed geometry (SCAN). Values from VASP.

```
&SYSTEM
  ibrav = 0, nat = 8, ntyp = 3
/
ATOMIC_SPECIES
I 126.90 I.upf
Sc 44.96 Sc.upf
Al 26.98 Al.upf
ATOMIC_POSITIONS crystal
I 0.250 0.750 0.500
I 0.000 0.000 0.000
Sc 0.836 0.375 0.250
Sc 0.625 0.586 0.750
Sc 0.125 0.164 0.750
Sc 0.414 0.875 0.250
Al 0.500 0.500 0.000
Al 0.750 0.250 0.500
CELL_PARAMETERS angstrom
5.949 0.000 0.000
0.000 5.949 0.000
-2.975 -2.975 7.282
```

Calculated values
Uncorrected formation energy = 0.78 eV per formula unit
Crystal system = tetragonal
Energy = -144.38 eV/cell

***

Record 5
Entry from Alexandria via LeMat-Bulk: BeCu2Si at its PBEsol-relaxed geometry (SCAN). Values from VASP.

```
&SYSTEM
  ibrav = 0, nat = 4, ntyp = 3
/
ATOMIC_SPECIES
Si 28.09 Si.upf
Be 9.01 Be.upf
Cu 63.55 Cu.upf
ATOMIC_POSITIONS crystal
Si 0.000 0.000 0.000
Be 0.500 0.500 0.000
Cu 0.750 0.250 0.500
Cu 0.250 0.750 0.500
CELL_PARAMETERS angstrom
-0.489 2.440 -2.525
-2.766 1.303 1.795
3.734 0.288 2.044
```

Calculated values
Uncorrected formation energy = -0.02 eV per formula unit
Crystal system = tetragonal
Energy = -44.79 eV/cell

***

Record 6
Entry from Alexandria via LeMat-Bulk: SiBr2Cl at its PBEsol-relaxed geometry (SCAN). Values from VASP.

```
&SYSTEM
  ibrav = 0, nat = 4, ntyp = 3
/
ATOMIC_SPECIES
Br 79.90 Br.upf
Cl 35.45 Cl.upf
Si 28.09 Si.upf
ATOMIC_POSITIONS crystal
Br 0.500 0.758 0.242
Br 0.000 0.110 0.890
Cl 0.000 0.380 0.620
Si 0.500 0.252 0.748
CELL_PARAMETERS angstrom
-1.188 -0.537 -3.274
-1.969 -6.322 1.751
-2.707 6.290 -0.048
```

Calculated values
Uncorrected formation energy = -1.85 eV per formula unit
Relative energy among the computed polymorphs = 0 meV/atom
Crystal system = orthorhombic
Energy = -58.76 eV/cell

***

Record 7
Entry from Alexandria via LeMat-Bulk: TiNbP2 at its PBEsol-relaxed geometry (SCAN). Values from VASP.

```
&SYSTEM
  ibrav = 0, nat = 8, ntyp = 3
/
ATOMIC_SPECIES
Nb 92.91 Nb.upf
P 30.97 P.upf
Ti 47.87 Ti.upf
ATOMIC_POSITIONS crystal
Nb 0.250 0.750 0.500
Nb 0.000 0.000 0.000
P 0.870 0.375 0.250
P 0.125 0.130 0.750
P 0.625 0.620 0.750
P 0.380 0.875 0.250
Ti 0.500 0.500 0.000
Ti 0.750 0.250 0.500
CELL_PARAMETERS angstrom
-4.765 -0.524 -2.717
-2.184 -2.610 4.334
1.775 6.392 1.242
```

Calculated values
Crystal system = tetragonal
Calculated formation energy = -0.340 eV/atom
Energy = -142.63 eV/cell

***

Record 8
Entry from Alexandria via LeMat-Bulk: Li2SiPt at its PBEsol-relaxed geometry (SCAN). Values from VASP.

```
&SYSTEM
  ibrav = 0, nat = 4, ntyp = 3
/
ATOMIC_SPECIES
Si 28.09 Si.upf
Li 6.94 Li.upf
Pt 195.08 Pt.upf
ATOMIC_POSITIONS crystal
Si 0.244 0.488 0.674
Li 0.753 0.507 0.206
Li 0.993 0.986 0.048
Pt 0.510 0.019 0.572
CELL_PARAMETERS angstrom
2.951 0.000 0.000
-1.475 4.249 0.064
0.000 -1.532 4.279
```

Calculated values
Uncorrected formation energy = -2.64 eV per formula unit
Crystal system = monoclinic
Energy = -87.63 eV/cell

***

Record 9
Entry from Alexandria via LeMat-Bulk: RbSeBr3 at its PBEsol-relaxed geometry (SCAN). Values from VASP.

```
&SYSTEM
  ibrav = 0, nat = 10, ntyp = 3
/
ATOMIC_SPECIES
Br 79.90 Br.upf
Se 78.96 Se.upf
Rb 85.47 Rb.upf
ATOMIC_POSITIONS crystal
Br 0.702 0.696 0.503
Br 0.298 0.304 0.003
Br 0.226 0.909 0.750
Br 0.298 0.304 0.497
Br 0.774 0.091 0.250
Br 0.702 0.696 0.997
Se 0.000 0.000 0.000
Se 0.000 0.000 0.500
Rb 0.805 0.351 0.750
Rb 0.195 0.649 0.250
CELL_PARAMETERS angstrom
5.257 -0.068 0.000
-0.929 7.455 0.000
0.000 0.000 8.639
```

Calculated values
Uncorrected formation energy = -4.29 eV per formula unit
Crystal system = monoclinic
Energy = -206.97 eV/cell

***

Record 10
Entry from Alexandria via LeMat-Bulk: YTl at its PBEsol-relaxed geometry (SCAN). Values from VASP.

```
&SYSTEM
  ibrav = 0, nat = 24, ntyp = 2
/
ATOMIC_SPECIES
Tl 204.38 Tl.upf
Y 88.91 Y.upf
ATOMIC_POSITIONS crystal
Tl 0.500 0.750 0.917
Tl 0.000 0.250 0.083
Tl 0.750 0.883 0.146
Tl 0.750 0.383 0.854
Tl 0.750 0.952 0.586
Tl 0.250 0.548 0.586
Tl 0.250 0.117 0.854
Tl 0.250 0.617 0.146
Tl 0.250 0.048 0.414
Tl 0.750 0.452 0.414
Tl 0.000 0.750 0.917
Tl 0.500 0.250 0.083
Y 0.750 0.538 0.123
Y 0.000 0.750 0.385
Y 0.500 0.250 0.615
Y 0.250 0.363 0.323
Y 0.250 0.462 0.877
Y 0.000 0.250 0.615
Y 0.250 0.863 0.677
Y 0.250 0.962 0.123
Y 0.500 0.750 0.385
Y 0.750 0.637 0.677
Y 0.750 0.137 0.323
Y 0.750 0.038 0.877
CELL_PARAMETERS angstrom
6.556 0.000 0.000
0.000 9.253 0.000
0.000 0.000 10.499
```

Calculated values
Crystal system = orthorhombic
Calculated formation energy = -0.604 eV/atom
Energy = -1216.90 eV/cell

***

Record 11
Entry from Alexandria via LeMat-Bulk: MgFeCu2Tc at its PBEsol-relaxed geometry (SCAN). Values from VASP.

```
&SYSTEM
  ibrav = 0, nat = 5, ntyp = 4
/
ATOMIC_SPECIES
Cu 63.55 Cu.upf
Fe 55.84 Fe.upf
Mg 24.30 Mg.upf
Tc 98.00 Tc.upf
ATOMIC_POSITIONS crystal
Cu 0.000 0.000 0.500
Cu 0.000 0.500 0.000
Fe 0.000 0.000 0.000
Mg 0.500 0.500 0.500
Tc 0.500 0.000 0.000
CELL_PARAMETERS angstrom
-3.968 0.900 -0.872
-1.334 -3.002 2.971
0.014 3.113 3.151
```

Calculated values
Crystal system = tetragonal
Calculated formation energy = 0.858 eV/atom
Energy = -84.27 eV/cell

***

Record 12
Entry from Alexandria via LeMat-Bulk: CoNi2Mo at its PBEsol-relaxed geometry (SCAN). Values from VASP.

```
&SYSTEM
  ibrav = 0, nat = 4, ntyp = 3
/
ATOMIC_SPECIES
Mo 95.94 Mo.upf
Ni 58.69 Ni.upf
Co 58.93 Co.upf
ATOMIC_POSITIONS crystal
Mo 0.000 0.000 0.000
Ni 0.250 0.750 0.500
Ni 0.750 0.250 0.500
Co 0.500 0.500 0.000
CELL_PARAMETERS angstrom
-0.838 2.242 2.535
-2.907 0.860 -1.722
0.024 -4.247 1.367
```

Calculated values
Relative energy among the computed polymorphs = 22 meV/atom
Crystal system = tetragonal
Calculated formation energy = 0.069 eV/atom
Energy = -84.26 eV/cell

***

Record 13
Entry from Alexandria via LeMat-Bulk: AsRhSe3 at its PBEsol-relaxed geometry (SCAN). Values from VASP.

```
&SYSTEM
  ibrav = 0, nat = 5, ntyp = 3
/
ATOMIC_SPECIES
As 74.92 As.upf
Se 78.96 Se.upf
Rh 102.91 Rh.upf
ATOMIC_POSITIONS crystal
As 0.000 0.000 0.000
Se 0.000 0.000 0.500
Se 0.000 0.500 0.000
Se 0.500 0.000 0.000
Rh 0.500 0.500 0.500
CELL_PARAMETERS angstrom
-3.471 3.032 -1.563
-3.411 -3.065 1.629
0.031 2.257 4.311
```

Calculated values
Uncorrected formation energy = 4.85 eV per formula unit
Crystal system = cubic
Energy = -109.35 eV/cell

***

Record 14
Entry from Alexandria via LeMat-Bulk: CeGa3Cu at its PBEsol-relaxed geometry (SCAN). Values from VASP.

```
&SYSTEM
  ibrav = 0, nat = 5, ntyp = 3
/
ATOMIC_SPECIES
Cu 63.55 Cu.upf
Ga 69.72 Ga.upf
Ce 140.12 Ce.upf
ATOMIC_POSITIONS crystal
Cu 0.750 0.250 0.500
Ga 0.383 0.383 0.765
Ga 0.617 0.617 0.235
Ga 0.250 0.750 0.500
Ce 0.000 0.000 0.000
CELL_PARAMETERS angstrom
4.142 0.000 0.000
0.000 4.142 0.000
-2.071 -2.071 5.163
```

Calculated values
Crystal system = tetragonal
Calculated formation energy = -0.561 eV/atom
Energy = -111.61 eV/cell

***

Record 15
Entry from Alexandria via LeMat-Bulk: NbZn2NiAg at its PBEsol-relaxed geometry (SCAN). Values from VASP.

```
&SYSTEM
  ibrav = 0, nat = 5, ntyp = 4
/
ATOMIC_SPECIES
Zn 65.41 Zn.upf
Ni 58.69 Ni.upf
Nb 92.91 Nb.upf
Ag 107.87 Ag.upf
ATOMIC_POSITIONS crystal
Zn 0.000 0.500 0.000
Zn 0.500 0.000 0.000
Ni 0.000 0.000 0.000
Nb 0.500 0.500 0.500
Ag 0.000 0.000 0.500
CELL_PARAMETERS angstrom
4.315 0.000 0.000
0.000 4.315 0.000
0.000 0.000 4.583
```

Calculated values
Crystal system = tetragonal
Calculated formation energy = 0.712 eV/atom
Energy = -104.14 eV/cell

***

Record 16
Entry from Alexandria via LeMat-Bulk: CrHgTe3 at its PBEsol-relaxed geometry (SCAN). Values from VASP.

```
&SYSTEM
  ibrav = 0, nat = 5, ntyp = 3
/
ATOMIC_SPECIES
Cr 52.00 Cr.upf
Te 127.60 Te.upf
Hg 200.59 Hg.upf
ATOMIC_POSITIONS crystal
Cr 0.000 0.000 0.000
Te 0.500 0.000 0.000
Te 0.000 0.000 0.500
Te 0.000 0.500 0.000
Hg 0.500 0.500 0.500
CELL_PARAMETERS angstrom
-1.026 -4.786 1.601
4.798 -0.419 1.823
-1.564 1.855 4.542
```

Calculated values
Uncorrected formation energy = 1.18 eV per formula unit
Crystal system = cubic
Energy = -197.13 eV/cell

***

Record 17
Entry from Alexandria via LeMat-Bulk: Te3Pb at its PBEsol-relaxed geometry (SCAN). Values from VASP.

```
&SYSTEM
  ibrav = 0, nat = 16, ntyp = 2
/
ATOMIC_SPECIES
Te 127.60 Te.upf
Pb 207.20 Pb.upf
ATOMIC_POSITIONS crystal
Te 0.227 0.498 0.110
Te 0.931 0.750 0.235
Te 0.431 0.750 0.265
Te 0.227 0.002 0.110
Te 0.773 0.502 0.890
Te 0.069 0.250 0.765
Te 0.273 0.998 0.610
Te 0.273 0.502 0.610
Te 0.773 0.998 0.890
Te 0.569 0.250 0.735
Te 0.727 0.002 0.390
Te 0.727 0.498 0.390
Pb 0.055 0.250 0.379
Pb 0.945 0.750 0.621
Pb 0.445 0.750 0.879
Pb 0.555 0.250 0.121
CELL_PARAMETERS angstrom
7.738 0.000 0.000
0.000 8.021 0.000
0.000 0.000 8.510
```

Calculated values
Uncorrected formation energy = -0.35 eV per formula unit
Crystal system = orthorhombic
Energy = -751.54 eV/cell

***

Record 18
Entry from Alexandria via LeMat-Bulk: Ag2PRu at its PBEsol-relaxed geometry (SCAN). Values from VASP.

```
&SYSTEM
  ibrav = 0, nat = 4, ntyp = 3
/
ATOMIC_SPECIES
Ru 101.07 Ru.upf
Ag 107.87 Ag.upf
P 30.97 P.upf
ATOMIC_POSITIONS crystal
Ru 0.500 0.500 0.000
Ag 0.000 0.500 0.500
Ag 0.000 0.000 0.500
P 0.500 0.000 0.000
CELL_PARAMETERS angstrom
-1.978 -0.095 1.928
-1.256 -4.634 -1.516
3.461 0.625 3.582
```

Calculated values
Relative energy among the computed polymorphs = 348 meV/atom
Crystal system = orthorhombic
Calculated formation energy = 0.507 eV/atom
Energy = -105.93 eV/cell

***

Record 19
Entry from Alexandria via LeMat-Bulk: LaBTe2N at its PBEsol-relaxed geometry (SCAN). Values from VASP.

```
&SYSTEM
  ibrav = 0, nat = 5, ntyp = 4
/
ATOMIC_SPECIES
Te 127.60 Te.upf
B 10.81 B.upf
La 138.91 La.upf
N 14.01 N.upf
ATOMIC_POSITIONS crystal
Te 0.000 0.500 0.000
Te 0.000 0.000 0.500
B 0.000 0.000 0.000
La 0.500 0.500 0.500
N 0.500 0.000 0.000
CELL_PARAMETERS angstrom
-1.053 -2.604 -0.519
2.980 -2.175 4.861
-4.827 1.251 3.518
```

Calculated values
Uncorrected formation energy = -1.74 eV per formula unit
Crystal system = tetragonal
Energy = -136.06 eV/cell

***

Record 20
Entry from Alexandria via LeMat-Bulk: LaCoNi2 at its PBEsol-relaxed geometry (SCAN). Values from VASP.

```
&SYSTEM
  ibrav = 0, nat = 4, ntyp = 3
/
ATOMIC_SPECIES
Ni 58.69 Ni.upf
La 138.91 La.upf
Co 58.93 Co.upf
ATOMIC_POSITIONS crystal
Ni 0.756 0.756 0.733
Ni 0.062 0.062 0.815
La 0.252 0.252 0.245
Co 0.432 0.432 0.703
CELL_PARAMETERS angstrom
-4.024 0.436 -0.303
-2.370 -0.748 3.210
-1.750 4.322 2.281
```

Calculated values
Crystal system = trigonal
Calculated formation energy = -0.110 eV/atom
Energy = -93.20 eV/cell